Below is LiGeMo2O6 after structural relaxation, with properties calculated at the PBE+U level.

Summary:
Its symmetry is P1, No. 1. The electronic total energy is -6.7660 eV per atom.

a = 5.1757 Å, b = 5.2059 Å, c = 5.6826 Å
α = 91.24°, β = 116.41°, γ = 118.62°
Positions (direct):
Li 0.0000 0.0000 0.0000
Ge 0.9306 0.4636 0.3901
Mo 0.5344 0.2718 0.7970
Mo 0.5413 0.7823 0.3147
O 0.0264 0.1988 0.5717
O 0.0383 0.3817 0.1165
O 0.3773 0.8264 0.5705
O 0.4615 0.0733 0.1143
O 0.7326 0.6607 0.1177
O 0.7399 0.5494 0.5694